No. 1
GGA-PBE LiSeN, optimized geometry; density = 2.41 g/cm³; raw total energy = -5.080 eV/atom; total magnetization = 0.00 μB per formula unit; distance to the lowest polymorph of the same formula = 55 meV/atom
1.0
4.346 0.000 0.000
0.000 5.418 0.255
0.000 0.997 11.745
Li Se N
4 4 4
direct
0.748 0.353 0.579
0.248 0.147 0.421
0.252 0.647 0.421
0.752 0.853 0.579
0.728 0.415 0.354
0.228 0.085 0.646
0.272 0.585 0.646
0.772 0.915 0.354
0.560 0.021 0.958
0.060 0.479 0.042
0.440 0.979 0.042
0.940 0.521 0.958



No. 2
GGA-PBE Cs7K2Cl2, optimized geometry; density = 1.59 g/cm³; raw total energy = -1.690 eV/atom; total magnetization = 0.00 μB per formula unit
1.0
-2.546 8.794 -3.722
-5.865 -7.412 -2.885
-9.047 2.305 8.745
Cs K Cl
7 2 2
direct
0.040 0.414 0.214
0.586 0.960 0.786
0.960 0.586 0.786
0.414 0.040 0.214
0.000 0.000 0.000
0.421 0.421 0.839
0.579 0.579 0.161
0.647 0.353 0.500
0.353 0.647 0.500
0.721 0.721 0.901
0.279 0.279 0.099



No. 3
GGA-PBE TlOs3Ru, optimized geometry; density = 12.78 g/cm³; raw total energy = -5.434 eV/atom; total magnetization = 3.89 μB per formula unit; energy relative to the elements = 3.6321 eV/atom
1.0
4.846 0.000 0.000
0.000 4.846 0.000
0.000 0.000 4.846
Ru Tl Os
1 1 3
direct
0.500 0.500 0.500
0.000 0.000 0.000
0.000 0.500 0.000
0.000 0.000 0.500
0.500 0.000 0.000



No. 4
GGA-PBE K3Pa2NiTe6, optimized geometry; density = 5.68 g/cm³; raw total energy = -4.662 eV/atom; total magnetization = 2.34 μB per formula unit
1.0
7.555 0.010 -0.004
-3.767 6.549 -0.004
-1.267 -2.194 8.289
K Pa Ni Te
3 2 1 6
direct
0.172 0.828 0.500
0.828 0.172 0.500
0.500 0.500 0.500
0.335 0.665 0.000
0.665 0.335 0.000
0.000 0.000 0.000
0.934 0.619 0.801
0.750 0.750 0.205
0.066 0.381 0.199
0.619 0.934 0.801
0.250 0.250 0.795
0.381 0.066 0.199